Below is a PBEsol-optimized structure of LaP2O2, with properties calculated at the meta-GGA SCAN level.

Cell and atoms, written as CIF:
```
data_LaP2O2
_cell_length_a 4.081
_cell_length_b 4.081
_cell_length_c 6.527
_cell_angle_alpha 90.00
_cell_angle_beta 90.00
_cell_angle_gamma 90.00
_space_group_name_H-M_alt 'P 4/m m m'
_space_group_IT_number 123
_space_group_name_Hall '-P 4 2'
loop_
_atom_site_label
_atom_site_type_symbol
_atom_site_fract_x
_atom_site_fract_y
_atom_site_fract_z
La1 La 0.000 0.000 0.000
P1 P 0.000 0.000 0.500
P2 P 0.500 0.500 0.500
O1 O 0.000 0.500 0.000
```

=====

Below is a PBEsol-optimized structure of NaCu2Cl, with properties calculated at the meta-GGA SCAN level.

Cell and atoms, written as CIF:
```
data_NaCu2Cl
_cell_length_a 6.452
_cell_length_b 6.452
_cell_length_c 6.452
_cell_angle_alpha 90.00
_cell_angle_beta 90.00
_cell_angle_gamma 90.00
_space_group_name_H-M_alt 'F m -3 m'
_space_group_IT_number 225
_space_group_name_Hall '-F 4 2 3'
loop_
_atom_site_label
_atom_site_type_symbol
_atom_site_fract_x
_atom_site_fract_y
_atom_site_fract_z
Na1 Na 0.000 0.000 0.000
Cu1 Cu 0.250 0.250 0.250
Cl1 Cl 0.000 0.000 0.500
```

=====

Below is a PBEsol-optimized structure of V3FeS6, with properties calculated at the meta-GGA SCAN level.

Cell and atoms, written as CIF:
```
data_V3FeS6
_cell_length_a 5.4803
_cell_length_b 5.4803
_cell_length_c 16.2705
_cell_angle_alpha 90.00
_cell_angle_beta 90.00
_cell_angle_gamma 120.00
_space_group_name_H-M_alt 'R -3'
_space_group_IT_number 148
_space_group_name_Hall '-R 3'
loop_
_atom_site_label
_atom_site_type_symbol
_atom_site_fract_x
_atom_site_fract_y
_atom_site_fract_z
V1 V 0.0000 0.0000 0.0000
V2 V 0.0000 0.0000 0.3314
Fe1 Fe 0.0000 0.0000 0.5000
S1 S 0.0008 0.6638 0.5772
```

=====

| no. | ρ (g cm⁻³) | total magnetization (μB per formula unit) | formation energy (no corrections) (kJ/mol of atoms) |
| --- | --- | --- | --- |
| 1 | 3.56 | 0.60 | -47.64 |
| 2 | 4.59 | 0.00 | 46.13 |
| 3 | 4.72 | 0.13 | -90.14 |